# 1
Computed, not measured: a crystal of ZrTe relaxed with PBEsol at the meta-GGA SCAN level of DFT.

a = 3.610 Å, b = 4.889 Å, c = 5.604 Å
α = 90.00°, β = 108.79°, γ = 90.00°
Positions (direct):
Te1 0.378 0.750 0.755
Te2 0.622 0.250 0.245
Zr1 0.094 0.750 0.188
Zr2 0.906 0.250 0.812

## Properties
**Formation energy from raw total energies**: -0.837 eV per atom
**D(E_F)**: 1.92 states/eV per cell

# 2
Computed, not measured: a crystal of Ba2TiOsPb relaxed with PBEsol at the meta-GGA SCAN level of DFT.

a = 5.166 Å, b = 6.409 Å, c = 6.409 Å
α = 90.00°, β = 90.00°, γ = 90.00°
Last column: magnetic moment on the atom in μB.
Positions (direct):
Ti1 0.500 0.000 0.000  1.47
Os1 0.500 0.500 0.500  1.66
Pb1 0.000 0.000 0.000  -0.02
Ba1 0.000 0.500 0.000  0.00
Ba2 0.000 0.000 0.500  0.00

## Properties
**Energy of formation from the pure elements**: 125 kJ per mole of atoms
**D(E_F)**: 2.22 states/eV per cell

# 3
Computed, not measured: a crystal of MnH3Pb relaxed with PBEsol at the meta-GGA SCAN level of DFT.

a = 4.134 Å, b = 4.134 Å, c = 4.134 Å
α = 90.00°, β = 90.00°, γ = 90.00°
Last column: magnetic moment on the atom in μB.
Positions (direct):
Mn1 0.500 0.500 0.500  4.78
H1 0.500 0.000 0.000  0.03
H2 0.000 0.000 0.500  0.03
H3 0.000 0.500 0.000  0.03
Pb1 0.000 0.000 0.000  -0.06

## Properties
**DFT total energy**: -100.3 eV/cell
**D(E_F)**: 1.63 states/eV per cell

# 4
Computed, not measured: a crystal of CaMg3 relaxed with PBEsol at the meta-GGA SCAN level of DFT.

a = 8.850 Å, b = 8.850 Å, c = 9.695 Å
α = 90.00°, β = 90.00°, γ = 120.00°
Positions (direct):
Ca1 0.333 0.000 0.250
Ca2 0.000 0.667 0.750
Ca3 0.667 0.000 0.750
Ca4 0.667 0.667 0.250
Ca5 0.333 0.333 0.750
Ca6 0.000 0.333 0.250
Mg1 0.667 0.667 0.913
Mg2 0.667 0.000 0.087
Mg3 0.000 0.333 0.587
Mg4 0.333 0.667 0.500
Mg5 0.333 0.000 0.587
Mg6 0.333 0.667 0.000
Mg7 0.000 0.667 0.413
Mg8 0.000 0.667 0.087
Mg9 0.667 0.000 0.413
Mg10 0.667 0.667 0.587
Mg11 0.000 0.333 0.913
Mg12 0.000 0.000 0.000
Mg13 0.667 0.333 0.000
Mg14 0.000 0.000 0.500
Mg15 0.333 0.333 0.087
Mg16 0.333 0.333 0.413
Mg17 0.667 0.333 0.500
Mg18 0.333 0.000 0.913

## Properties
**Energy of formation from the pure elements**: 0 kJ per mole of atoms
**D(E_F)**: 12.34 states/eV per cell

Table of total magnetic moment (μB per formula unit), in record order: 0.00; 4.05; 5.33; 0.00